NaCrPO4 (PBE+U, optimized geometry); density = 3.616 g cm⁻³; total energy = -48.1 eV/f.u.; crystal system = orthorhombic
1.0
-2.729 3.102 4.611
2.729 -3.102 4.611
2.729 3.102 -4.611
Na Cr P O
2 2 2 8
Direct
0.500 0.000 0.000
0.500 0.500 0.500
0.000 0.000 0.000
0.500 0.000 0.500
0.130 0.380 0.750
0.870 0.620 0.250
0.166 0.708 0.458
0.234 0.244 0.510
0.234 0.724 0.990
0.250 0.292 0.958
0.750 0.708 0.042
0.766 0.276 0.010
0.766 0.756 0.490
0.834 0.292 0.542